# 1
A plane-wave DFT calculation with GGA-PBE was carried out for a relaxed CaGa2Pd3 crystal.

Computed properties:
**Formation energy from the elements**: -16.8 kcal/mol of atoms
**Space-group type**: P6_3/mmc (194)
**Total moment**: 0.00 μB/atom

Unit cell a=4.3967 b=4.3967 c=12.7390 alpha=90.00 beta=90.00 gamma=120.00
Atoms (fractional coordinates):
1 Ca 0.0000 0.0000 0.2500
2 Ca 0.0000 0.0000 0.7500
3 Ga 0.3333 0.6667 0.0857
4 Ga 0.3333 0.6667 0.4143
5 Ga 0.6667 0.3333 0.5857
6 Ga 0.6667 0.3333 0.9143
7 Pd 0.0000 0.0000 0.0000
8 Pd 0.0000 0.0000 0.5000
9 Pd 0.3333 0.6667 0.6176
10 Pd 0.3333 0.6667 0.8824
11 Pd 0.6667 0.3333 0.1176
12 Pd 0.6667 0.3333 0.3824



# 2
A plane-wave DFT calculation with GGA-PBE was carried out for a relaxed Ca2GaPd2 crystal.

Computed properties:
**Formation energy from the elements**: -18.0 kcal/mol of atoms
**Space-group type**: C2/c (15)
**Total moment**: 0.00 μB/atom

Unit cell a=5.7462 b=5.7462 c=7.8547 alpha=101.42 beta=101.42 gamma=59.79
Atoms (fractional coordinates):
1 Ca 0.0156 0.2844 0.1498
2 Ca 0.2844 0.0156 0.6498
3 Ca 0.7156 0.9844 0.3502
4 Ca 0.9844 0.7156 0.8502
5 Ga 0.3645 0.6355 0.2500
6 Ga 0.6355 0.3645 0.7500
7 Pd 0.2406 0.5029 0.4976
8 Pd 0.4971 0.7594 0.0024
9 Pd 0.5029 0.2406 0.9976
10 Pd 0.7594 0.4971 0.5024



# 3
A plane-wave DFT calculation with GGA-PBE was carried out for a relaxed CaGa3Pd crystal.

Computed properties:
**Formation energy from the elements**: 23.4 kcal/mol of atoms
**Space-group type**: Pm-3m (221)
**Total moment**: 0.00 μB/atom

Unit cell a=5.3948 b=5.3948 c=5.3948 alpha=90.00 beta=90.00 gamma=90.00
Atoms (fractional coordinates):
1 Ca 0.0000 0.0000 0.0000
2 Ga 0.0000 0.0000 0.5000
3 Ga 0.0000 0.5000 0.0000
4 Ga 0.5000 0.0000 0.0000
5 Pd 0.5000 0.5000 0.5000



# 4
A plane-wave DFT calculation with GGA-PBE was carried out for a relaxed Ca3Ga4Pd2 crystal.

Computed properties:
**Formation energy from the elements**: -14.7 kcal/mol of atoms
**Space-group type**: C2/m (12)
**Distance to the lowest polymorph of the same formula**: 0 meV/atom
**Total moment**: 0.00 μB/atom

Unit cell a=5.8499 b=5.8499 c=8.7152 alpha=107.38 beta=107.38 gamma=44.21
Atoms (fractional coordinates):
1 Ca 0.0000 0.0000 0.0000
2 Ca 0.3723 0.3723 0.3093
3 Ca 0.6277 0.6277 0.6907
4 Ga 0.1043 0.1043 0.4253
5 Ga 0.2719 0.2719 0.9304
6 Ga 0.7281 0.7281 0.0696
7 Ga 0.8957 0.8957 0.5747
8 Pd 0.3315 0.3315 0.6721
9 Pd 0.6685 0.6685 0.3279



# 5
A plane-wave DFT calculation with GGA-PBE was carried out for a relaxed Ca3Ga6Pd5 crystal.

Computed properties:
**Formation energy from the elements**: -16.3 kcal/mol of atoms
**Space-group type**: Pmmn (59)
**Total moment**: 0.00 μB/atom

Unit cell a=4.2681 b=12.9049 c=9.5456 alpha=90.00 beta=90.00 gamma=90.00
Atoms (fractional coordinates):
1 Ca 0.2500 0.0568 0.2500
2 Ca 0.2500 0.4432 0.2500
3 Ca 0.2500 0.7500 0.2366
4 Ca 0.7500 0.2500 0.7634
5 Ca 0.7500 0.5568 0.7500
6 Ca 0.7500 0.9432 0.7500
7 Ga 0.2500 0.0678 0.9105
8 Ga 0.2500 0.2500 0.0710
9 Ga 0.2500 0.2500 0.4674
10 Ga 0.2500 0.4322 0.9105
11 Ga 0.2500 0.5965 0.5171
12 Ga 0.2500 0.9035 0.5171
13 Ga 0.7500 0.0965 0.4829
14 Ga 0.7500 0.4035 0.4829
15 Ga 0.7500 0.5678 0.0895
16 Ga 0.7500 0.7500 0.5326
17 Ga 0.7500 0.7500 0.9290
18 Ga 0.7500 0.9322 0.0895
19 Pd 0.2500 0.0911 0.6349
20 Pd 0.2500 0.4089 0.6349
21 Pd 0.2500 0.6347 0.9607
22 Pd 0.2500 0.7500 0.7018
23 Pd 0.2500 0.8653 0.9607
24 Pd 0.7500 0.1347 0.0393
25 Pd 0.7500 0.2500 0.2982
26 Pd 0.7500 0.3653 0.0393
27 Pd 0.7500 0.5911 0.3651
28 Pd 0.7500 0.9089 0.3651



# 6
A plane-wave DFT calculation with GGA-PBE was carried out for a relaxed CaGa3Pd5 crystal.

Computed properties:
**Formation energy from the elements**: -14.1 kcal/mol of atoms
**Space-group type**: Cmcm (63)
**Total moment**: 0.00 μB/atom

Unit cell a=6.8770 b=6.8770 c=12.7922 alpha=90.00 beta=90.00 gamma=146.42
Atoms (fractional coordinates):
1 Ca 0.1511 0.8489 0.7500
2 Ca 0.8489 0.1511 0.2500
3 Ga 0.1111 0.8889 0.2500
4 Ga 0.3796 0.6204 0.0421
5 Ga 0.3796 0.6204 0.4579
6 Ga 0.6204 0.3796 0.5421
7 Ga 0.6204 0.3796 0.9579
8 Ga 0.8889 0.1111 0.7500
9 Pd 0.0000 0.0000 0.0000
10 Pd 0.0000 0.0000 0.5000
11 Pd 0.1980 0.8020 0.0719
12 Pd 0.1980 0.8020 0.4281
13 Pd 0.4539 0.5461 0.6439
14 Pd 0.4539 0.5461 0.8561
15 Pd 0.5461 0.4539 0.1439
16 Pd 0.5461 0.4539 0.3561
17 Pd 0.8020 0.1980 0.5719
18 Pd 0.8020 0.1980 0.9281



# 7
A plane-wave DFT calculation with GGA-PBE was carried out for a relaxed Ca3Ga2Pd2 crystal.

Computed properties:
**Formation energy from the elements**: -16.4 kcal/mol of atoms
**Space-group type**: Pbcm (57)
**Total moment**: 0.00 μB/atom

Unit cell a=5.8182 b=7.9191 c=13.9765 alpha=90.00 beta=90.00 gamma=90.00
Atoms (fractional coordinates):
1 Ca 0.1338 0.2464 0.2500
2 Ca 0.1338 0.2536 0.7500
3 Ca 0.3590 0.6050 0.5991
4 Ca 0.3590 0.6050 0.9009
5 Ca 0.3590 0.8950 0.0991
6 Ca 0.3590 0.8950 0.4009
7 Ca 0.6410 0.1050 0.5991
8 Ca 0.6410 0.1050 0.9009
9 Ca 0.6410 0.3950 0.0991
10 Ca 0.6410 0.3950 0.4009
11 Ca 0.8662 0.7464 0.2500
12 Ca 0.8662 0.7536 0.7500
13 Ga 0.1325 0.2500 0.0000
14 Ga 0.1325 0.2500 0.5000
15 Ga 0.3556 0.5969 0.2500
16 Ga 0.3556 0.9031 0.7500
17 Ga 0.6444 0.0969 0.2500
18 Ga 0.6444 0.4031 0.7500
19 Ga 0.8675 0.7500 0.0000
20 Ga 0.8675 0.7500 0.5000
21 Pd 0.1330 0.5340 0.0924
22 Pd 0.1330 0.5340 0.4076
23 Pd 0.1330 0.9660 0.5924
24 Pd 0.1330 0.9660 0.9076
25 Pd 0.8670 0.0340 0.0924
26 Pd 0.8670 0.0340 0.4076
27 Pd 0.8670 0.4660 0.5924
28 Pd 0.8670 0.4660 0.9076



# 8
A plane-wave DFT calculation with GGA-PBE was carried out for a relaxed Ca2Ga9Pd6 crystal.

Computed properties:
**Formation energy from the elements**: -11.8 kcal/mol of atoms
**Space-group type**: P6/mmm (191)
**Total moment**: 0.00 μB/atom

Unit cell a=5.4647 b=5.4647 c=12.5939 alpha=90.00 beta=90.00 gamma=120.00
Atoms (fractional coordinates):
1 Ca 0.0000 0.0000 0.1590
2 Ca 0.0000 0.0000 0.8410
3 Ga 0.0000 0.5000 0.0000
4 Ga 0.0000 0.5000 0.3382
5 Ga 0.0000 0.5000 0.6618
6 Ga 0.5000 0.0000 0.0000
7 Ga 0.5000 0.0000 0.3382
8 Ga 0.5000 0.0000 0.6618
9 Ga 0.5000 0.5000 0.0000
10 Ga 0.5000 0.5000 0.3382
11 Ga 0.5000 0.5000 0.6618
12 Pd 0.3333 0.6667 0.1718
13 Pd 0.3333 0.6667 0.5000
14 Pd 0.3333 0.6667 0.8282
15 Pd 0.6667 0.3333 0.1718
16 Pd 0.6667 0.3333 0.5000
17 Pd 0.6667 0.3333 0.8282



# 9
A plane-wave DFT calculation with GGA-PBE was carried out for a relaxed Ca2GaPd crystal.

Computed properties:
**Formation energy from the elements**: -13.7 kcal/mol of atoms
**Space-group type**: P2_1/m (11)
**Total moment**: 0.00 μB/atom

Unit cell a=5.9306 b=4.2065 c=8.5751 alpha=90.00 beta=107.13 gamma=90.00
Atoms (fractional coordinates):
1 Ca 0.2054 0.2500 0.4250
2 Ca 0.2769 0.7500 0.0680
3 Ca 0.7231 0.2500 0.9320
4 Ca 0.7946 0.7500 0.5750
5 Ga 0.3541 0.7500 0.7181
6 Ga 0.6459 0.2500 0.2819
7 Pd 0.1554 0.2500 0.7819
8 Pd 0.8446 0.7500 0.2181



# 10
A plane-wave DFT calculation with GGA-PBE was carried out for a relaxed Ca6GaPd crystal.

Computed properties:
**Formation energy from the elements**: -3.7 kcal/mol of atoms
**Space-group type**: C2/m (12)
**Total moment**: 0.00 μB/atom

Unit cell a=8.6980 b=8.6980 c=10.7170 alpha=118.95 beta=118.95 gamma=77.17
Atoms (fractional coordinates):
1 Ca 0.0071 0.6518 0.3217
2 Ca 0.1526 0.7907 0.8026
3 Ca 0.2093 0.8474 0.1974
4 Ca 0.2695 0.2695 0.1193
5 Ca 0.3482 0.9929 0.6783
6 Ca 0.3535 0.3535 0.5395
7 Ca 0.6465 0.6465 0.4605
8 Ca 0.6518 0.0071 0.3217
9 Ca 0.7305 0.7305 0.8807
10 Ca 0.7907 0.1526 0.8026
11 Ca 0.8474 0.2093 0.1974
12 Ca 0.9929 0.3482 0.6783
13 Ga 0.0000 0.5000 0.0000
14 Ga 0.5000 0.0000 0.0000
15 Pd 0.0000 0.5000 0.5000
16 Pd 0.5000 0.0000 0.5000



# 11
A plane-wave DFT calculation with GGA-PBE was carried out for a relaxed CaGa6Pd4 crystal.

Computed properties:
**Formation energy from the elements**: -13.8 kcal/mol of atoms
**Space-group type**: P-6m2 (187)
**Total moment**: 0.00 μB/atom

Unit cell a=7.3980 b=7.3980 c=4.0716 alpha=90.00 beta=90.00 gamma=120.00
Atoms (fractional coordinates):
1 Ca 0.0000 0.0000 0.0000
2 Ga 0.0705 0.5353 0.0000
3 Ga 0.3942 0.1971 0.5000
4 Ga 0.4647 0.5353 0.0000
5 Ga 0.4647 0.9295 0.0000
6 Ga 0.8029 0.1971 0.5000
7 Ga 0.8029 0.6058 0.5000
8 Pd 0.2030 0.4059 0.5000
9 Pd 0.2030 0.7970 0.5000
10 Pd 0.5941 0.7970 0.5000
11 Pd 0.6667 0.3333 0.0000



# 12
A plane-wave DFT calculation with GGA-PBE was carried out for a relaxed Ca4GaPd4 crystal.

Computed properties:
**Formation energy from the elements**: -14.1 kcal/mol of atoms
**Space-group type**: P4_2/n (86)
**Total moment**: 0.00 μB/atom

Unit cell a=8.7027 b=8.7027 c=5.8159 alpha=90.00 beta=90.00 gamma=90.00
Atoms (fractional coordinates):
1 Ca 0.0415 0.8157 0.1149
2 Ca 0.1843 0.5415 0.6149
3 Ca 0.3157 0.9585 0.6149
4 Ca 0.4585 0.6843 0.1149
5 Ca 0.5415 0.3157 0.8851
6 Ca 0.6843 0.0415 0.3851
7 Ca 0.8157 0.4585 0.3851
8 Ca 0.9585 0.1843 0.8851
9 Ga 0.2500 0.2500 0.2500
10 Ga 0.7500 0.7500 0.7500
11 Pd 0.0144 0.1345 0.3890
12 Pd 0.1345 0.4856 0.1110
13 Pd 0.3655 0.0144 0.1110
14 Pd 0.4856 0.3655 0.3890
15 Pd 0.5144 0.6345 0.6110
16 Pd 0.6345 0.9856 0.8890
17 Pd 0.8655 0.5144 0.8890
18 Pd 0.9856 0.8655 0.6110



- Look up the total moment of the ninth one.
  0.00 μB/atom